1.
This record from the Alexandria database describes a geometry-optimized ZrPa2MnS5 structure. The functional is PBE.

The space group is Cmc2_1 (No. 36) and the conventional cell measures 3.6252, 15.9160 and 11.6621 Å, with angles of 90.00, 90.00 and 90.00 degrees. The inequivalent atoms are Zr at (0.0000, 0.1749, 0.0000), Pa at (0.0000, 0.1073, 0.3281), Pa at (0.0000, 0.1213, 0.6797), Mn at (0.0000, 0.4441, 0.3973), S at (0.0000, 0.0129, 0.9998), S at (0.0000, 0.3051, 0.6649), S at (0.0000, 0.3075, 0.3409), S at (0.0000, 0.3419, 0.0005) and S at (0.0000, 0.4963, 0.7261).

The calculation puts the size of the total moment at 2.60 μB per cell. For the density of states at the Fermi level, the calculation gives 7.24 states/eV/f.u. The final energy is -7.801 eV per atom.


2.
This record from the Alexandria database describes a geometry-optimized PaMnSb structure. The functional is PBE.

The space group is P-6m2 (No. 187) and the conventional cell measures 4.5161, 4.5161 and 3.6503 Å, with angles of 90.00, 90.00 and 120.00 degrees. The inequivalent atoms are Pa at (0.0000, 0.0000, 0.0000), Mn at (0.6667, 0.3333, 0.5000) and Sb at (0.3333, 0.6667, 0.5000).

The calculation puts the size of the total moment at 1.42 μB per cell. For the density of states at the Fermi level, the calculation gives 3.94 states/eV/f.u. The final energy is -7.807 eV per atom.


3.
This record from the Alexandria database describes a geometry-optimized Pa2MnSb structure. The functional is PBE.

The space group is Cmcm (No. 63) and the conventional cell measures 3.8635, 14.1850 and 6.6530 Å, with angles of 90.00, 90.00 and 90.00 degrees. The inequivalent atoms are Pa at (0.0000, 0.1479, 0.0129), Mn at (0.0000, 0.3131, 0.2500) and Sb at (0.0000, 0.4994, 0.2500).

The calculation puts the size of the total moment at 0.00 μB per cell. For the density of states at the Fermi level, the calculation gives 4.89 states/eV/f.u. As for the energy above the most stable polymorph in this dataset: 0.0 kJ/mol of atoms. The final energy is -8.237 eV per atom.


4.
This record from the Alexandria database describes a geometry-optimized Pa2MnSb structure. The functional is PBE.

The space group is R-3m (No. 166, hexagonal axes) and the conventional cell measures 3.9327, 3.9327 and 21.6631 Å, with angles of 90.00, 90.00 and 120.00 degrees. The inequivalent atoms are Pa at (0.0000, 0.0000, 0.2318), Mn at (0.0000, 0.0000, 0.5000) and Sb at (0.0000, 0.0000, 0.0000).

The calculation puts the size of the total moment at 0.00 μB per cell. For the density of states at the Fermi level, the calculation gives 4.10 states/eV/f.u. As for the energy above the most stable polymorph in this dataset: 0.7 kJ/mol of atoms. The final energy is -8.229 eV per atom.


5.
This record from the Alexandria database describes a geometry-optimized Pa3MnSb2 structure. The functional is PBE.

The space group is Pnma (No. 62) and the conventional cell measures 12.6953, 3.9645 and 11.3716 Å, with angles of 90.00, 90.00 and 90.00 degrees. The inequivalent atoms are Pa at (0.0587, 0.2500, 0.1104), Pa at (0.1308, 0.7500, 0.5340), Pa at (0.2417, 0.7500, 0.2457), Mn at (0.1249, 0.2500, 0.3552), Sb at (0.0094, 0.2500, 0.6970) and Sb at (0.1875, 0.7500, 0.9578).

The calculation puts the size of the total moment at 0.00 μB per cell. For the density of states at the Fermi level, the calculation gives 9.87 states/eV/f.u. The final energy is -7.963 eV per atom.


6.
This record from the Alexandria database describes a geometry-optimized PaMnSb structure. The functional is PBE.

The space group is Pnma (No. 62) and the conventional cell measures 7.1577, 4.9099 and 7.0792 Å, with angles of 90.00, 90.00 and 90.00 degrees. The inequivalent atoms are Pa at (0.0205, 0.2500, 0.1933), Mn at (0.2416, 0.2500, 0.9858) and Sb at (0.1745, 0.2500, 0.6107).

The calculation puts the size of the total moment at 0.00 μB per cell. For the density of states at the Fermi level, the calculation gives 2.40 states/eV/f.u. The final energy is -7.989 eV per atom.


7.
This record from the Alexandria database describes a geometry-optimized Pa5MnSb3 structure. The functional is PBE.

The space group is P6_3/mcm (No. 193) and the conventional cell measures 9.1850, 9.1850 and 6.0328 Å, with angles of 90.00, 90.00 and 120.00 degrees. The inequivalent atoms are Pa at (0.0000, 0.2417, 0.2500), Pa at (0.3333, 0.6667, 0.0000), Mn at (0.0000, 0.0000, 0.0000) and Sb at (0.0000, 0.3922, 0.7500).

The calculation puts the size of the total moment at 3.21 μB per cell. For the density of states at the Fermi level, the calculation gives 16.74 states/eV/f.u. The final energy is -8.081 eV per atom.


8.
This record from the Alexandria database describes a geometry-optimized PaMnSb structure. The functional is PBE.

The space group is I4mm (No. 107) and the conventional cell measures 4.3737, 4.3737 and 7.7332 Å, with angles of 90.00, 90.00 and 90.00 degrees. The inequivalent atoms are Pa at (0.0000, 0.0000, 0.0000), Mn at (0.0000, 0.0000, 0.2715) and Sb at (0.0000, 0.0000, 0.6087).

The calculation puts the size of the total moment at 2.61 μB per cell. For the density of states at the Fermi level, the calculation gives 3.13 states/eV/f.u. The final energy is -7.338 eV per atom.


9.
This record from the Alexandria database describes a geometry-optimized PaMn2Sb structure. The functional is PBE.

The space group is Fm-3m (No. 225) and the conventional cell measures 6.4761, 6.4761 and 6.4761 Å, with angles of 90.00, 90.00 and 90.00 degrees. The inequivalent atoms are Pa at (0.0000, 0.0000, 0.0000), Mn at (0.2500, 0.2500, 0.2500) and Sb at (0.0000, 0.0000, 0.5000).

The calculation puts the size of the total moment at 0.00 μB per cell. For the density of states at the Fermi level, the calculation gives 1.45 states/eV/f.u. As for the energy above the most stable polymorph in this dataset: 2.8 kJ/mol of atoms. The final energy is -7.977 eV per atom.


10.
This record from the Alexandria database describes a geometry-optimized PaMn2Sb structure. The functional is PBE.

The space group is P4/mmm (No. 123) and the conventional cell measures 4.4240, 4.4240 and 3.4451 Å, with angles of 90.00, 90.00 and 90.00 degrees. The inequivalent atoms are Pa at (0.0000, 0.0000, 0.0000), Mn at (0.0000, 0.5000, 0.5000) and Sb at (0.5000, 0.5000, 0.0000).

The calculation puts the size of the total moment at 0.00 μB per cell. For the density of states at the Fermi level, the calculation gives 1.87 states/eV/f.u. As for the energy above the most stable polymorph in this dataset: 0.0 kJ/mol of atoms. The final energy is -8.005 eV per atom.


11.
This record from the Alexandria database describes a geometry-optimized PaMnSb structure. The functional is PBE.

The space group is I4/mmm (No. 139) and the conventional cell measures 4.3589, 4.3589 and 13.5156 Å, with angles of 90.00, 90.00 and 90.00 degrees. The inequivalent atoms are Pa at (0.0000, 0.0000, 0.1306), Mn at (0.0000, 0.5000, 0.0000) and Sb at (0.0000, 0.0000, 0.3728).

The calculation puts the size of the total moment at 0.00 μB per cell. For the density of states at the Fermi level, the calculation gives 3.54 states/eV/f.u. The final energy is -7.856 eV per atom.


12.
This record from the Alexandria database describes a geometry-optimized PaMnTcSb structure. The functional is PBE.

The space group is F-43m (No. 216) and the conventional cell measures 6.6139, 6.6139 and 6.6139 Å, with angles of 90.00, 90.00 and 90.00 degrees. The inequivalent atoms are Pa at (0.0000, 0.0000, 0.0000), Mn at (0.2500, 0.2500, 0.2500), Tc at (0.2500, 0.2500, 0.7500) and Sb at (0.0000, 0.0000, 0.5000).

The calculation puts the size of the total moment at 0.00 μB per cell. For the density of states at the Fermi level, the calculation gives 1.30 states/eV/f.u. The final energy is -8.362 eV per atom.